[1]
{
  "formula": "BaSrOs2",
  "functional": "PBE-GGA",
  "state": "relaxed",
  "lattice": [[-1.3562, -2.5164, -8.0571], [7.6592, -3.7967, -0.1035], [1.9908, -5.5233, -3.1457]],
  "species": ["Sr", "Sr", "Os", "Os", "Os", "Os", "Ba", "Ba"],
  "fractional_positions": [[0.5000, 0.5000, 0.0000], [0.2500, 0.7500, 0.5000], [0.6210, 0.1250, 0.2500], [0.1290, 0.6250, 0.2500], [0.3750, 0.3790, 0.7500], [0.8750, 0.8710, 0.7500], [0.0000, 0.0000, 0.0000], [0.7500, 0.2500, 0.5000]],
  "e_form_kcal_per_mol_atoms": 33.98,
  "relative_energy_ev_per_atom": 1.281
}

=====

[2]
{
  "formula": "TmPbS2",
  "functional": "PBE-GGA",
  "state": "relaxed",
  "lattice": [[-2.7435, 0.5178, 2.6076], [-2.7028, -2.6564, 0.4823], [2.6839, -4.3020, 6.4765]],
  "species": ["Tm", "Pb", "S", "S"],
  "fractional_positions": [[0.6668, 0.6668, 0.9996], [0.5003, 0.5003, 0.4991], [0.0646, 0.0646, 0.8063], [0.2684, 0.2684, 0.1949]],
  "raw_formation_energy_ev_per_atom": -1.323
}

=====

| no. | D(E_F) (states/eV per cell) | calculated total energy (eV/atom) |
| --- | --- | --- |
| 1 | 10.922 | -5.04 |
| 2 | 0.378 | -5.43 |